(1)
First-principles (PBE-GGA) data for an optimized crystal structure of Na2Ta2Tl, as listed in Alexandria via LeMat-Bulk. Values from VASP.

```
&SYSTEM
  ibrav = 0, nat = 5, ntyp = 3
/
ATOMIC_SPECIES
Na 22.99 Na.upf
Ta 180.95 Ta.upf
Tl 204.38 Tl.upf
ATOMIC_POSITIONS angstrom
Na 1.9964 0.0000 3.8134
Na 0.0000 1.9964 3.8134
Ta 0.0000 0.0000 1.1573
Ta 0.0000 0.0000 14.0961
Tl 0.0000 0.0000 7.6267
CELL_PARAMETERS angstrom
-1.9964 1.9964 7.6267
1.9964 -1.9964 7.6267
1.9964 1.9964 -7.6267
```

Results
Distance to the lowest polymorph of the same formula: 0.04 eV/f.u.
Size of the total moment: 0.00 μB/f.u.
Space group: I4/mmm, No. 139
Electronic total energy: -4.673 eV per atom
Calculated formation energy: 1069 meV per atom



(2)
First-principles (PBE-GGA) data for an optimized crystal structure of Nd6Si2PtBr3, as listed in Alexandria via LeMat-Bulk. Values from VASP.

```
&SYSTEM
  ibrav = 0, nat = 12, ntyp = 4
/
ATOMIC_SPECIES
Nd 144.24 Nd.upf
Si 28.09 Si.upf
Pt 195.08 Pt.upf
Br 79.90 Br.upf
ATOMIC_POSITIONS angstrom
Nd -0.3349 0.0000 1.9316
Nd 5.2265 0.0000 3.7665
Nd 4.4924 0.0000 7.7261
Nd 12.3648 0.0000 0.9297
Nd 11.6306 0.0000 4.8894
Nd 17.1921 0.0000 6.7243
Si 2.4286 0.0000 2.9117
Si 14.4285 0.0000 5.7442
Pt 9.5502 0.0000 0.0000
Br 1.3744 0.0000 7.2059
Br 8.4286 0.0000 4.3279
Br 15.4827 0.0000 1.4500
CELL_PARAMETERS angstrom
9.5502 -2.1038 0.0000
9.5502 2.1038 0.0000
-2.2432 0.0000 8.6558
```

Results
Size of the total moment: 0.00 μB/f.u.
Space group: C2/m, No. 12
Electronic total energy: -5.313 eV per atom



(3)
First-principles (PBE-GGA) data for an optimized crystal structure of Sm2Cu5Ni2Rh, as listed in Alexandria via LeMat-Bulk. Values from VASP.

```
&SYSTEM
  ibrav = 0, nat = 20, ntyp = 4
/
ATOMIC_SPECIES
Sm 150.36 Sm.upf
Cu 63.55 Cu.upf
Ni 58.69 Ni.upf
Rh 102.91 Rh.upf
ATOMIC_POSITIONS angstrom
Sm 1.6523 2.7810 0.0000
Sm 2.7810 7.2144 0.0000
Sm 6.0857 1.6523 0.0000
Sm 7.2144 6.0857 0.0000
Cu 0.0000 4.4334 1.9663
Cu 0.4897 7.0500 1.9663
Cu 1.8168 0.4897 1.9663
Cu 2.6166 4.9231 1.9663
Cu 3.9437 2.6166 1.9663
Cu 4.4334 0.0000 1.9663
Cu 4.9231 6.2502 1.9663
Cu 6.2502 3.9437 1.9663
Cu 7.0500 8.3771 1.9663
Cu 8.3771 1.8168 1.9663
Ni 0.9861 5.4194 0.0000
Ni 3.4473 0.9861 0.0000
Ni 5.4194 7.8807 0.0000
Ni 7.8807 3.4473 0.0000
Rh 0.0000 0.0000 0.0000
Rh 4.4334 4.4334 0.0000
CELL_PARAMETERS angstrom
8.8668 0.0000 0.0000
0.0000 8.8668 0.0000
0.0000 0.0000 3.9325
```

Results
Size of the total moment: 0.00 μB/f.u.
Space group: P4/mbm, No. 127
Electronic total energy: -5.086 eV per atom
Calculated formation energy: -203 meV per atom



(4)
First-principles (PBE-GGA) data for an optimized crystal structure of Dy2Ho3Co2, as listed in Alexandria via LeMat-Bulk. Values from VASP.

```
&SYSTEM
  ibrav = 0, nat = 7, ntyp = 3
/
ATOMIC_SPECIES
Dy 162.50 Dy.upf
Ho 164.93 Ho.upf
Co 58.93 Co.upf
ATOMIC_POSITIONS angstrom
Dy 0.8603 0.0000 2.4012
Dy 7.1604 0.0000 5.5022
Ho 4.2669 0.0000 0.5780
Ho 4.0104 0.0000 3.9517
Ho 3.7538 0.0000 7.3254
Co -0.7653 0.0000 5.8592
Co 8.7861 0.0000 2.0442
CELL_PARAMETERS angstrom
5.9600 -1.8228 0.0000
5.9600 1.8228 0.0000
-3.8993 0.0000 7.9034
```

Results
Size of the total moment: 0.00 μB/f.u.
Space group: C2/m, No. 12
Electronic total energy: -5.480 eV per atom
Calculated formation energy: -173 meV per atom



(5)
First-principles (PBE-GGA) data for an optimized crystal structure of ZnSiPd2, as listed in Alexandria via LeMat-Bulk. Values from VASP.

```
&SYSTEM
  ibrav = 0, nat = 8, ntyp = 3
/
ATOMIC_SPECIES
Zn 65.41 Zn.upf
Si 28.09 Si.upf
Pd 106.42 Pd.upf
ATOMIC_POSITIONS angstrom
Zn 0.0000 0.0000 0.0000
Zn 0.0000 3.4070 1.3689
Si 3.4070 0.0000 1.3689
Si 0.0000 0.0000 2.7377
Pd 1.7035 1.9608 -0.6844
Pd 4.8532 1.7035 0.6844
Pd 1.7035 1.4462 2.0533
Pd -1.4462 1.7035 3.4222
CELL_PARAMETERS angstrom
-3.4070 3.4070 2.7377
3.4070 -3.4070 2.7377
3.4070 3.4070 -2.7377
```

Results
Size of the total moment: 0.00 μB/f.u.
Space group: I-42d, No. 122
Electronic total energy: -4.529 eV per atom



(6)
First-principles (PBE-GGA) data for an optimized crystal structure of Ba2TbTl, as listed in Alexandria via LeMat-Bulk. Values from VASP.

```
&SYSTEM
  ibrav = 0, nat = 4, ntyp = 3
/
ATOMIC_SPECIES
Ba 137.33 Ba.upf
Tb 158.93 Tb.upf
Tl 204.38 Tl.upf
ATOMIC_POSITIONS angstrom
Ba 0.0000 0.0000 3.6432
Ba 0.0000 0.0000 35.0175
Tb 0.0000 0.0000 0.0000
Tl 0.0000 0.0000 19.3303
CELL_PARAMETERS angstrom
1.9502 1.1259 12.8869
-1.9502 1.1259 12.8869
0.0000 -2.2518 12.8869
```

Results
Size of the total moment: 0.01 μB/f.u.
Space group: R-3m, No. 166
Electronic total energy: -2.507 eV per atom
Calculated formation energy: 204 meV per atom



(7)
First-principles (PBE-GGA) data for an optimized crystal structure of GdPaCu, as listed in Alexandria via LeMat-Bulk. Values from VASP.

```
&SYSTEM
  ibrav = 0, nat = 3, ntyp = 3
/
ATOMIC_SPECIES
Gd 157.25 Gd.upf
Pa 231.04 Pa.upf
Cu 63.55 Cu.upf
ATOMIC_POSITIONS angstrom
Gd 0.0000 0.0000 0.0000
Pa 0.0000 0.0000 3.7829
Cu 0.0000 0.0000 8.3476
CELL_PARAMETERS angstrom
-1.6471 1.6471 6.4078
1.6471 -1.6471 6.4078
1.6471 1.6471 -6.4078
```

Results
Size of the total moment: 7.34 μB/f.u.
Space group: I4mm, No. 107
Electronic total energy: -9.104 eV per atom
Calculated formation energy: 121 meV per atom



(8)
First-principles (PBE-GGA) data for an optimized crystal structure of ErCo4Au, as listed in Alexandria via LeMat-Bulk. Values from VASP.

```
&SYSTEM
  ibrav = 0, nat = 6, ntyp = 3
/
ATOMIC_SPECIES
Er 167.26 Er.upf
Co 58.93 Co.upf
Au 196.97 Au.upf
ATOMIC_POSITIONS angstrom
Er 0.0000 0.0000 0.0000
Co 4.3674 2.6265 2.6265
Co 2.6265 4.3674 2.6265
Co 2.6265 2.6265 4.3674
Co 4.3674 4.3674 4.3674
Au 1.7485 1.7485 1.7485
CELL_PARAMETERS angstrom
0.0000 3.4969 3.4969
3.4969 0.0000 3.4969
3.4969 3.4969 0.0000
```

Results
Size of the total moment: 5.93 μB/f.u.
Space group: F-43m, No. 216
Electronic total energy: -6.221 eV per atom
Calculated formation energy: -177 meV per atom



Q: The lowest electronic total energy belongs to which entry?
A: GdPaCu



Q: The lowest electronic total energy belongs to which entry?
A: GdPaCu



Q: Number 5 is which compound?
A: ZnSiPd2